Record 1
# Hf3Zr2Tc2 PBE-GGA relaxed
# - total magnetic moment (Bohr magnetons per cell) = 0.000
# - DOS(E_F) (states/eV/f.u.) = 6.2
# - ΔE_f (eV/atom) = -0.157
data_Hf3Zr2Tc2
_chemical_formula_sum 'Hf6 Zr4 Tc4'
_space_group_name_H-M_alt 'C m m m'
_space_group_IT_number 65
_space_group_name_Hall '-C 2 2'
_cell_length_a 3.277
_cell_length_b 27.109
_cell_length_c 3.255
_cell_angle_alpha 90.00
_cell_angle_beta 90.00
_cell_angle_gamma 90.00
loop_
_atom_site_label
_atom_site_fract_x
_atom_site_fract_y
_atom_site_fract_z
Hf1 0.000 0.000 0.000
Hf2 0.000 0.422 0.500
Zr1 0.000 0.305 0.500
Tc1 0.000 0.137 0.000



Record 2
# BaIn3Os PBE-GGA relaxed
# - total magnetic moment (Bohr magnetons per cell) = 0.000
# - ΔE to the lowest computed polymorph (meV/atom) = 0
# - DOS(E_F) (states/eV/f.u.) = 3.9
# - ΔE_f (eV/atom) = -0.136
data_BaIn3Os
_chemical_formula_sum 'Ba1 In3 Os1'
_space_group_name_H-M_alt 'P m -3 m'
_space_group_IT_number 221
_space_group_name_Hall '-P 4 2 3'
_cell_length_a 5.240
_cell_length_b 5.240
_cell_length_c 5.240
_cell_angle_alpha 90.00
_cell_angle_beta 90.00
_cell_angle_gamma 90.00
loop_
_atom_site_label
_atom_site_fract_x
_atom_site_fract_y
_atom_site_fract_z
Ba1 0.000 0.000 0.000
In1 0.000 0.500 0.500
Os1 0.500 0.500 0.500



Record 3
# Dy2OsRu PBE-GGA relaxed
# - total magnetic moment (Bohr magnetons per cell) = 0.000
# - DOS(E_F) (states/eV/f.u.) = 4.8
# - ΔE_f (eV/atom) = -0.178
data_Dy2OsRu
_chemical_formula_sum 'Dy2 Os1 Ru1'
_space_group_name_H-M_alt 'P 4/m m m'
_space_group_IT_number 123
_space_group_name_Hall '-P 4 2'
_cell_length_a 3.400
_cell_length_b 3.400
_cell_length_c 6.810
_cell_angle_alpha 90.00
_cell_angle_beta 90.00
_cell_angle_gamma 90.00
loop_
_atom_site_label
_atom_site_fract_x
_atom_site_fract_y
_atom_site_fract_z
Dy1 0.000 0.000 0.250
Os1 0.500 0.500 0.000
Ru1 0.500 0.500 0.500



Record 4
# SrLaO PBE-GGA relaxed
# - total magnetic moment (Bohr magnetons per cell) = 0.911
# - ΔE to the lowest computed polymorph (meV/atom) = 0
# - DOS(E_F) (states/eV/f.u.) = 3.3
# - uncorrected formation energy (eV/atom) = -1.861
data_SrLaO
_chemical_formula_sum 'Sr8 La8 O8'
_space_group_name_H-M_alt 'C 1 2/m 1'
_space_group_IT_number 12
_cell_length_a 26.309
_cell_length_b 4.176
_cell_length_c 8.238
_cell_angle_alpha 90.00
_cell_angle_beta 92.69
_cell_angle_gamma 90.00
loop_
_space_group_symop_operation_xyz
'x,y,z'
'-x,-y,-z'
'-x,y,-z'
'x,-y,z'
'x+1/2,y+1/2,z'
'-x+1/2,-y+1/2,-z'
'-x+1/2,y+1/2,-z'
'x+1/2,-y+1/2,z'
loop_
_atom_site_label
_atom_site_fract_x
_atom_site_fract_y
_atom_site_fract_z
Sr1 0.064 0.000 0.352
Sr2 0.070 0.500 0.857
La1 0.206 0.000 0.119
La2 0.206 0.000 0.618
O1 0.249 0.500 0.626
O2 0.250 0.000 0.876



Record 5
# Sm4Er7Pu PBE-GGA relaxed
# - total magnetic moment (Bohr magnetons per cell) = 13.282
# - DOS(E_F) (states/eV/f.u.) = 22.6
# - ΔE_f (eV/atom) = 0.288
data_Sm4Er7Pu
_chemical_formula_sum 'Sm8 Er14 Pu2'
_space_group_name_H-M_alt 'C 1 2/m 1'
_space_group_IT_number 12
_cell_length_a 11.925
_cell_length_b 5.801
_cell_length_c 12.687
_cell_angle_alpha 90.00
_cell_angle_beta 117.07
_cell_angle_gamma 90.00
loop_
_space_group_symop_operation_xyz
'x,y,z'
'-x,-y,-z'
'-x,y,-z'
'x,-y,z'
'x+1/2,y+1/2,z'
'-x+1/2,-y+1/2,-z'
'-x+1/2,y+1/2,-z'
'x+1/2,-y+1/2,z'
loop_
_atom_site_label
_atom_site_fract_x
_atom_site_fract_y
_atom_site_fract_z
Sm1 0.135 0.000 0.275
Sm2 0.198 0.500 0.154
Er1 0.000 0.000 0.500
Er2 0.083 0.500 0.795
Er3 0.132 0.000 0.989
Er4 0.206 0.500 0.424
Pu1 0.000 0.500 0.500



Record 6
# BeCrB3 PBE-GGA relaxed
# - total magnetic moment (Bohr magnetons per cell) = 0.004
# - ΔE to the lowest computed polymorph (meV/atom) = 22
# - DOS(E_F) (states/eV/f.u.) = 3.0
# - ΔE_f (eV/atom) = 1.320
data_BeCrB3
_chemical_formula_sum 'Be1 Cr1 B3'
_space_group_name_H-M_alt 'P m -3 m'
_space_group_IT_number 221
_space_group_name_Hall '-P 4 2 3'
_cell_length_a 3.794
_cell_length_b 3.794
_cell_length_c 3.794
_cell_angle_alpha 90.00
_cell_angle_beta 90.00
_cell_angle_gamma 90.00
loop_
_atom_site_label
_atom_site_fract_x
_atom_site_fract_y
_atom_site_fract_z
Be1 0.000 0.000 0.000
Cr1 0.500 0.500 0.500
B1 0.000 0.500 0.500



Record 7
# Li2Ac3TaS9 PBE-GGA relaxed
# - total magnetic moment (Bohr magnetons per cell) = 0.000
# - DOS(E_F) (states/eV/f.u.) = 10.0
# - uncorrected formation energy (eV/atom) = -1.369
data_Li2Ac3TaS9
_chemical_formula_sum 'Li2 Ac3 Ta1 S9'
_space_group_name_H-M_alt 'P -3 m 1'
_space_group_IT_number 164
_space_group_name_Hall '-P 3 2"'
_cell_length_a 6.5848
_cell_length_b 6.5848
_cell_length_c 8.6332
_cell_angle_alpha 90.00
_cell_angle_beta 90.00
_cell_angle_gamma 120.00
loop_
_atom_site_label
_atom_site_fract_x
_atom_site_fract_y
_atom_site_fract_z
Li1 0.3333 0.6667 0.1658
Ac1 0.0000 0.0000 0.0000
Ac2 0.3333 0.6667 0.7106
Ta1 0.0000 0.0000 0.5000
S1 0.0000 0.5000 0.0000
S2 0.1683 0.3366 0.3323



Record 8
# BeWSe2 PBE-GGA relaxed
# - total magnetic moment (Bohr magnetons per cell) = 0.699
# - DOS(E_F) (states/eV/f.u.) = 4.3
# - uncorrected formation energy (eV/atom) = 0.837
data_BeWSe2
_chemical_formula_sum 'Be2 W2 Se4'
_space_group_name_H-M_alt 'I -4 m 2'
_space_group_IT_number 119
_space_group_name_Hall 'I -4 -2'
_cell_length_a 3.753
_cell_length_b 3.753
_cell_length_c 9.016
_cell_angle_alpha 90.00
_cell_angle_beta 90.00
_cell_angle_gamma 90.00
loop_
_atom_site_label
_atom_site_fract_x
_atom_site_fract_y
_atom_site_fract_z
Be1 0.000 0.000 0.000
W1 0.000 0.500 0.250
Se1 0.000 0.000 0.500
Se2 0.000 0.500 0.750



Record 9
# MgCu6Se6 PBE-GGA relaxed
# - total magnetic moment (Bohr magnetons per cell) = 0.000
# - ΔE to the lowest computed polymorph (meV/atom) = 185
# - DOS(E_F) (states/eV/f.u.) = 5.0
# - uncorrected formation energy (eV/atom) = 0.166
data_MgCu6Se6
_chemical_formula_sum 'Mg2 Cu12 Se12'
_space_group_name_H-M_alt 'C m m m'
_space_group_IT_number 65
_space_group_name_Hall '-C 2 2'
_cell_length_a 7.554
_cell_length_b 8.309
_cell_length_c 7.632
_cell_angle_alpha 90.00
_cell_angle_beta 90.00
_cell_angle_gamma 90.00
loop_
_atom_site_label
_atom_site_fract_x
_atom_site_fract_y
_atom_site_fract_z
Mg1 0.000 0.000 0.000
Cu1 0.000 0.000 0.339
Cu2 0.000 0.260 0.500
Cu3 0.000 0.332 0.000
Se1 0.000 0.500 0.274
Se2 0.250 0.250 0.241



Record 10
# SiS2I PBE-GGA relaxed
# - total magnetic moment (Bohr magnetons per cell) = 3.967
# - ΔE to the lowest computed polymorph (meV/atom) = 395
# - DOS(E_F) (states/eV/f.u.) = 2.8
# - uncorrected formation energy (eV/atom) = 0.063
data_SiS2I
_chemical_formula_sum 'Si4 S8 I4'
_space_group_name_H-M_alt 'I -4 2 d'
_space_group_IT_number 122
_space_group_name_Hall 'I -4 2bw'
_cell_length_a 6.920
_cell_length_b 6.920
_cell_length_c 8.560
_cell_angle_alpha 90.00
_cell_angle_beta 90.00
_cell_angle_gamma 90.00
loop_
_atom_site_label
_atom_site_fract_x
_atom_site_fract_y
_atom_site_fract_z
Si1 0.000 0.000 0.000
S1 0.121 0.250 0.125
I1 0.000 0.000 0.500



Record 11
# Pr2CoC2N6 PBE-GGA relaxed
# - total magnetic moment (Bohr magnetons per cell) = 4.482
# - DOS(E_F) (states/eV/f.u.) = 6.0
# - uncorrected formation energy (eV/atom) = -0.324
data_Pr2CoC2N6
_chemical_formula_sum 'Pr6 Co3 C6 N18'
_space_group_name_H-M_alt 'R -3 m'
_space_group_IT_number 166
_space_group_name_Hall '-R 3 2"'
_cell_length_a 5.1272
_cell_length_b 5.1272
_cell_length_c 15.4291
_cell_angle_alpha 90.00
_cell_angle_beta 90.00
_cell_angle_gamma 120.00
loop_
_atom_site_label
_atom_site_fract_x
_atom_site_fract_y
_atom_site_fract_z
Pr1 0.0000 0.0000 0.2214
Co1 0.0000 0.0000 0.0000
C1 0.0000 0.0000 0.4081
N1 0.0251 0.5125 0.2532



Record 12
# ScVGe PBE-GGA relaxed
# - total magnetic moment (Bohr magnetons per cell) = 2.297
# - DOS(E_F) (states/eV/f.u.) = 3.4
# - ΔE_f (eV/atom) = -0.198
data_ScVGe
_chemical_formula_sum 'Sc1 V1 Ge1'
_space_group_name_H-M_alt 'P -6 m 2'
_space_group_IT_number 187
_space_group_name_Hall 'P -6 2'
_cell_length_a 4.3403
_cell_length_b 4.3403
_cell_length_c 3.3464
_cell_angle_alpha 90.00
_cell_angle_beta 90.00
_cell_angle_gamma 120.00
loop_
_atom_site_label
_atom_site_fract_x
_atom_site_fract_y
_atom_site_fract_z
Sc1 0.0000 0.0000 0.0000
V1 0.3333 0.6667 0.5000
Ge1 0.6667 0.3333 0.5000